*one*
## TlSbTe4 (PBE-GGA)

Data for crystalline TlSbTe4 at its relaxed geometry.

Geometry as POSCAR:
```
TlSbTe4
1.0
0.000 4.548 4.548
4.548 0.000 4.548
4.548 4.548 0.000
Tl Sb Te
1 1 4
Direct
0.000 0.000 0.000
0.750 0.750 0.750
0.376 0.376 0.376
0.376 0.376 0.873
0.376 0.873 0.376
0.873 0.376 0.376
```

Output
Its space group is F-43m (216). For the theoretical density, the calculation gives 7.38 g cm⁻³.

*two*
## TlSbTe4 (PBE-GGA)

Data for crystalline TlSbTe4 at its relaxed geometry.

Geometry as POSCAR:
```
TlSbTe4
1.0
7.519 0.000 0.000
-0.010 7.635 0.000
-3.745 -2.345 7.910
Tl Sb Te
2 2 8
Direct
0.183 0.250 0.000
0.817 0.750 0.000
0.000 0.500 0.500
0.500 0.000 0.500
0.154 0.800 0.849
0.163 0.140 0.596
0.305 0.700 0.151
0.433 0.639 0.596
0.567 0.361 0.404
0.695 0.300 0.849
0.837 0.860 0.404
0.846 0.200 0.151
```

Output
Its space group is P-1 (2). For the theoretical density, the calculation gives 6.12 g cm⁻³.

Tell me which of them is the least stable. Sure, it is *one*.

*one*
## YTlSbTe2 (PBE-GGA)

Data for crystalline YTlSbTe2 at its relaxed geometry.

Geometry as POSCAR:
```
YTlSbTe2
1.0
5.898 0.000 0.000
0.000 5.898 0.000
0.000 0.000 5.859
Y Tl Sb Te
1 1 1 2
Direct
0.000 0.000 0.000
0.500 0.500 0.500
0.000 0.000 0.500
0.000 0.500 0.000
0.500 0.000 0.000
```

Output
Its space group is P4/mmm (123). For the theoretical density, the calculation gives 5.46 g cm⁻³.

*two*
## YTlSbTe2 (PBE-GGA)

Data for crystalline YTlSbTe2 at its relaxed geometry.

Geometry as POSCAR:
```
YTlSbTe2
1.0
5.717 0.000 0.000
0.000 5.717 0.000
0.000 0.000 5.515
Y Tl Sb Te
1 1 1 2
Direct
0.000 0.000 0.000
0.500 0.500 0.500
0.500 0.500 0.000
0.000 0.500 0.500
0.500 0.000 0.500
```

Output
Its space group is P4/mmm (123). For the theoretical density, the calculation gives 6.17 g cm⁻³.

Tell me which of them is the least stable. Sure, it is *two*.

*one*
## TlZnSbTe2 (PBE-GGA)

Data for crystalline TlZnSbTe2 at its relaxed geometry.

Geometry as POSCAR:
```
TlZnSbTe2
1.0
5.833 0.000 0.000
0.000 5.833 0.000
0.000 0.000 5.779
Tl Zn Sb Te
1 1 1 2
Direct
0.000 0.000 0.000
0.500 0.500 0.500
0.000 0.000 0.500
0.000 0.500 0.000
0.500 0.000 0.000
```

Output
Its space group is P4/mmm (123). For the theoretical density, the calculation gives 5.46 g cm⁻³.

*two*
## TlZnSbTe2 (PBE-GGA)

Data for crystalline TlZnSbTe2 at its relaxed geometry.

Geometry as POSCAR:
```
TlZnSbTe2
1.0
5.559 0.000 0.000
0.000 5.559 0.000
0.000 0.000 5.145
Tl Zn Sb Te
1 1 1 2
Direct
0.000 0.000 0.000
0.500 0.500 0.500
0.500 0.500 0.000
0.000 0.500 0.500
0.500 0.000 0.500
```

Output
Its space group is P4/mmm (123). For the theoretical density, the calculation gives 6.75 g cm⁻³.

Tell me which of them is the least stable. Sure, it is *one*.

*one*
## TlZnSb2Te (PBE-GGA)

Data for crystalline TlZnSb2Te at its relaxed geometry.

Geometry as POSCAR:
```
TlZnSb2Te
1.0
5.767 0.000 0.000
0.000 5.767 0.000
0.000 0.000 5.841
Tl Zn Sb Te
1 1 2 1
Direct
0.000 0.000 0.000
0.500 0.500 0.500
0.000 0.500 0.000
0.500 0.000 0.000
0.000 0.000 0.500
```

Output
Its space group is P4/mmm (123). For the theoretical density, the calculation gives 5.48 g cm⁻³.

*two*
## TlZnSb2Te (PBE-GGA)

Data for crystalline TlZnSb2Te at its relaxed geometry.

Geometry as POSCAR:
```
TlZnSb2Te
1.0
5.251 0.000 0.000
0.000 5.251 0.000
0.000 0.000 5.673
Tl Zn Sb Te
1 1 2 1
Direct
0.000 0.000 0.000
0.500 0.500 0.500
0.000 0.500 0.500
0.500 0.000 0.500
0.500 0.500 0.000
```

Output
Its space group is P4/mmm (123). For the theoretical density, the calculation gives 6.80 g cm⁻³.

Tell me which of them is the least stable. Sure, it is *one*.

*one*
## Tm3Sb2Te (PBE-GGA)

Data for crystalline Tm3Sb2Te at its relaxed geometry.

Geometry as POSCAR:
```
Tm3Sb2Te
1.0
3.747 -6.495 0.000
3.747 6.495 0.000
-2.495 0.000 7.062
Tm Sb Te
6 4 2
Direct
0.000 0.500 0.000
0.153 0.326 0.497
0.326 0.153 0.997
0.500 0.000 0.500
0.674 0.847 0.003
0.847 0.674 0.503
0.084 0.916 0.250
0.254 0.746 0.750
0.746 0.254 0.250
0.916 0.084 0.750
0.419 0.581 0.250
0.581 0.419 0.750
```

Output
Its space group is C2/c (15). For the theoretical density, the calculation gives 8.48 g cm⁻³.

*two*
## Tm3Sb2Te (PBE-GGA)

Data for crystalline Tm3Sb2Te at its relaxed geometry.

Geometry as POSCAR:
```
Tm3Sb2Te
1.0
2.109 -7.702 0.000
2.109 7.702 0.000
0.000 0.000 10.013
Tm Sb Te
6 4 2
Direct
0.137 0.863 0.750
0.342 0.658 0.539
0.342 0.658 0.961
0.658 0.342 0.039
0.658 0.342 0.461
0.863 0.137 0.250
0.000 0.000 0.000
0.000 0.000 0.500
0.497 0.503 0.750
0.503 0.497 0.250
0.224 0.776 0.250
0.776 0.224 0.750
```

Output
Its space group is Cmcm (63). For the theoretical density, the calculation gives 8.96 g cm⁻³.

Tell me which of them is the least stable. Sure, it is *two*.

*one*
## Tm4Sb3Te (PBE-GGA)

Data for crystalline Tm4Sb3Te at its relaxed geometry.

Geometry as POSCAR:
```
Tm4Sb3Te
1.0
4.329 0.000 0.000
0.000 6.122 0.000
0.000 0.000 8.663
Tm Sb Te
4 3 1
Direct
0.000 0.000 0.000
0.000 0.000 0.500
0.500 0.500 0.242
0.500 0.500 0.758
0.000 0.500 0.000
0.500 0.000 0.252
0.500 0.000 0.748
0.000 0.500 0.500
```

Output
Its space group is Pmmm (47). For the theoretical density, the calculation gives 8.45 g cm⁻³.

*two*
## Tm4Sb3Te (PBE-GGA)

Data for crystalline Tm4Sb3Te at its relaxed geometry.

Geometry as POSCAR:
```
Tm4Sb3Te
1.0
6.120 0.000 0.000
0.000 6.120 0.000
0.000 0.000 6.120
Tm Sb Te
4 3 1
Direct
0.000 0.000 0.000
0.000 0.500 0.500
0.500 0.000 0.500
0.500 0.500 0.000
0.000 0.000 0.500
0.000 0.500 0.000
0.500 0.000 0.000
0.500 0.500 0.500
```

Output
Its space group is Pm-3m (221). For the theoretical density, the calculation gives 8.47 g cm⁻³.

Tell me which of them is the least stable. Sure, it is *two*.

*one*
## U2SbTe (PBE-GGA)

Data for crystalline U2SbTe at its relaxed geometry.

Geometry as POSCAR:
```
U2SbTe
1.0
4.534 0.000 0.000
-2.267 3.926 0.000
0.000 0.000 19.832
U Sb Te
6 3 3
Direct
0.000 0.000 0.249
0.000 0.000 0.751
0.333 0.667 0.417
0.333 0.667 0.916
0.667 0.333 0.084
0.667 0.333 0.583
0.000 0.000 0.500
0.333 0.667 0.167
0.667 0.333 0.833
0.000 0.000 0.000
0.333 0.667 0.667
0.667 0.333 0.333
```

Output
Its space group is R-3m (166). For the theoretical density, the calculation gives 10.24 g cm⁻³.

*two*
## U2SbTe (PBE-GGA)

Data for crystalline U2SbTe at its relaxed geometry.

Geometry as POSCAR:
```
U2SbTe
1.0
3.736 0.000 0.000
0.000 3.736 0.000
0.000 0.000 7.492
U Sb Te
2 1 1
Direct
0.000 0.000 0.244
0.000 0.000 0.756
0.500 0.500 0.000
0.500 0.500 0.500
```

Output
Its space group is P4/mmm (123). For the theoretical density, the calculation gives 11.52 g cm⁻³.

*three*
## U2SbTe (PBE-GGA)

Data for crystalline U2SbTe at its relaxed geometry.

Geometry as POSCAR:
```
U2SbTe
1.0
4.075 0.000 0.000
-2.038 3.529 0.000
0.000 0.000 24.465
U Sb Te
6 3 3
Direct
0.000 0.000 0.000
0.000 0.000 0.172
0.333 0.667 0.667
0.333 0.667 0.838
0.667 0.333 0.333
0.667 0.333 0.505
0.000 0.000 0.585
0.333 0.667 0.252
0.667 0.333 0.919
0.000 0.000 0.753
0.333 0.667 0.420
0.667 0.333 0.087
```

Output
Its space group is R3m (160). For the theoretical density, the calculation gives 10.27 g cm⁻³.

Tell me which of them is the least stable. Sure, it is *three*.

*one*
## VSb3Te (PBE-GGA)

Data for crystalline VSb3Te at its relaxed geometry.

Geometry as POSCAR:
```
VSb3Te
1.0
5.145 0.000 0.000
0.000 5.145 0.000
0.000 0.000 5.145
V Sb Te
1 3 1
Direct
0.000 0.000 0.000
0.000 0.000 0.500
0.000 0.500 0.000
0.500 0.000 0.000
0.500 0.500 0.500
```

Output
Its space group is Pm-3m (221). For the theoretical density, the calculation gives 6.63 g cm⁻³.

*two*
## VSb3Te (PBE-GGA)

Data for crystalline VSb3Te at its relaxed geometry.

Geometry as POSCAR:
```
VSb3Te
1.0
5.667 0.000 0.000
0.000 5.667 0.000
0.000 0.000 5.667
V Sb Te
1 3 1
Direct
0.000 0.000 0.000
0.000 0.500 0.500
0.500 0.000 0.500
0.500 0.500 0.000
0.500 0.500 0.500
```

Output
Its space group is Pm-3m (221). For the theoretical density, the calculation gives 4.96 g cm⁻³.

Tell me which of them is the least stable. Sure, it is *two*.

*one*
## YVSbTe2 (PBE-GGA)

Data for crystalline YVSbTe2 at its relaxed geometry.

Geometry as POSCAR:
```
YVSbTe2
1.0
5.272 0.000 0.000
0.000 5.272 0.000
0.000 0.000 5.040
Y V Sb Te
1 1 1 2
Direct
0.000 0.000 0.000
0.500 0.500 0.500
0.500 0.500 0.000
0.000 0.500 0.500
0.500 0.000 0.500
```

Output
Its space group is P4/mmm (123). For the theoretical density, the calculation gives 6.13 g cm⁻³.

*two*
## YVSbTe2 (PBE-GGA)

Data for crystalline YVSbTe2 at its relaxed geometry.

Geometry as POSCAR:
```
YVSbTe2
1.0
5.754 0.000 0.000
0.000 5.754 0.000
0.000 0.000 5.760
Y V Sb Te
1 1 1 2
Direct
0.000 0.000 0.000
0.500 0.500 0.500
0.000 0.000 0.500
0.000 0.500 0.000
0.500 0.000 0.000
```

Output
Its space group is P4/mmm (123). For the theoretical density, the calculation gives 4.50 g cm⁻³.

Tell me which of them is the least stable. Sure, it is *two*.

*one*
## YSb2TeW (PBE-GGA)

Data for crystalline YSb2TeW at its relaxed geometry.

Geometry as POSCAR:
```
YSb2TeW
1.0
5.144 0.000 0.000
0.000 5.144 0.000
0.000 0.000 5.779
Y Sb Te W
1 2 1 1
Direct
0.000 0.000 0.000
0.000 0.500 0.500
0.500 0.000 0.500
0.500 0.500 0.000
0.500 0.500 0.500
```

Output
Its space group is P4/mmm (123). For the theoretical density, the calculation gives 6.99 g cm⁻³.

*two*
## YSb2TeW (PBE-GGA)

Data for crystalline YSb2TeW at its relaxed geometry.

Geometry as POSCAR:
```
YSb2TeW
1.0
5.669 0.000 0.000
0.000 5.669 0.000
0.000 0.000 5.620
Y Sb Te W
1 2 1 1
Direct
0.000 0.000 0.000
0.000 0.500 0.000
0.500 0.000 0.000
0.000 0.000 0.500
0.500 0.500 0.500
```

Output
Its space group is P4/mmm (123). For the theoretical density, the calculation gives 5.92 g cm⁻³.

Tell me which of them is the least stable. Sure, it is *two*.

*one*
## Y4SbTe2 (PBE-GGA)

Data for crystalline Y4SbTe2 at its relaxed geometry.

Geometry as POSCAR:
```
Y4SbTe2
1.0
2.107 -6.947 0.000
2.107 6.947 0.000
0.000 0.000 14.519
Y Sb Te
8 2 4
Direct
0.000 0.000 0.000
0.000 0.000 0.500
0.285 0.715 0.631
0.285 0.715 0.869
0.436 0.564 0.250
0.564 0.436 0.750
0.715 0.285 0.131
0.715 0.285 0.369
0.095 0.905 0.250
0.905 0.095 0.750
0.357 0.643 0.061
0.357 0.643 0.439
0.643 0.357 0.561
0.643 0.357 0.939
```

Output
Its space group is Cmcm (63). For the theoretical density, the calculation gives 5.72 g cm⁻³.

*two*
## Y4SbTe2 (PBE-GGA)

Data for crystalline Y4SbTe2 at its relaxed geometry.

Geometry as POSCAR:
```
Y4SbTe2
1.0
-4.776 4.776 4.664
4.776 -4.776 4.664
4.776 4.776 -4.664
Y Sb Te
8 2 4
Direct
0.181 0.240 0.559
0.181 0.622 0.941
0.240 0.181 0.059
0.378 0.819 0.559
0.622 0.181 0.441
0.760 0.819 0.941
0.819 0.378 0.059
0.819 0.760 0.441
0.125 0.875 0.250
0.875 0.125 0.750
0.000 0.500 0.500
0.500 0.000 0.000
0.500 0.500 0.000
0.500 0.500 0.500
```

Output
Its space group is I4_1/amd (141). For the theoretical density, the calculation gives 5.72 g cm⁻³.

Tell me which of them is the least stable. Sure, it is *two*.

*one*
## Y4Sb3Te (PBE-GGA)

Data for crystalline Y4Sb3Te at its relaxed geometry.

Geometry as POSCAR:
```
Y4Sb3Te
1.0
4.386 0.000 0.000
0.000 6.201 0.000
0.000 0.000 8.774
Y Sb Te
4 3 1
Direct
0.000 0.000 0.000
0.000 0.000 0.500
0.500 0.500 0.242
0.500 0.500 0.758
0.000 0.500 0.000
0.500 0.000 0.252
0.500 0.000 0.748
0.000 0.500 0.500
```

Output
Its space group is Pmmm (47). For the theoretical density, the calculation gives 5.90 g cm⁻³.

*two*
## Y4Sb3Te (PBE-GGA)

Data for crystalline Y4Sb3Te at its relaxed geometry.

Geometry as POSCAR:
```
Y4Sb3Te
1.0
6.199 0.000 0.000
0.000 6.199 0.000
0.000 0.000 6.199
Y Sb Te
4 3 1
Direct
0.000 0.000 0.000
0.000 0.500 0.500
0.500 0.000 0.500
0.500 0.500 0.000
0.000 0.000 0.500
0.000 0.500 0.000
0.500 0.000 0.000
0.500 0.500 0.500
```

Output
Its space group is Pm-3m (221). For the theoretical density, the calculation gives 5.91 g cm⁻³.

Tell me which of them is the least stable. Sure, it is *two*.